## DyHoS2Cl2 (PBE)

Data for an optimized crystal structure of DyHoS2Cl2.

Values from the calculation:
- SG = Pmm2 (25)
- crystal system = orthorhombic
- E (eV per atom) = -5.71

Cell lengths 3.996, 5.339, 8.411 Å; angles 90.00, 90.00, 90.00 degrees
Element x y z (fractional)
Dy: 0.000 0.000 0.000
Ho: 0.500 0.500 0.278
S: 0.000 0.500 0.056
S: 0.500 0.000 0.223
Cl: 0.000 0.500 0.487
Cl: 0.500 0.000 0.791

***

## KCuTe3Pd (PBE)

Data for an optimized crystal structure of KCuTe3Pd.

Values from the calculation:
- SG = Pnma (62)
- distance to the lowest polymorph of the same formula (meV per atom) = 0
- crystal system = orthorhombic

Cell lengths 14.094, 4.267, 11.353 Å; angles 90.00, 90.00, 90.00 degrees
Element x y z (fractional)
K: 0.156 0.250 0.029
K: 0.344 0.750 0.529
K: 0.656 0.250 0.471
K: 0.844 0.750 0.971
Cu: 0.207 0.750 0.272
Cu: 0.293 0.250 0.772
Cu: 0.707 0.750 0.228
Cu: 0.793 0.250 0.728
Te: 0.033 0.750 0.233
Te: 0.105 0.250 0.510
Te: 0.196 0.750 0.788
Te: 0.304 0.250 0.288
Te: 0.395 0.750 0.010
Te: 0.467 0.250 0.733
Te: 0.533 0.750 0.267
Te: 0.605 0.250 0.990
Te: 0.696 0.750 0.712
Te: 0.804 0.250 0.212
Te: 0.895 0.750 0.490
Te: 0.967 0.250 0.767
Pd: 0.042 0.750 0.643
Pd: 0.458 0.250 0.143
Pd: 0.542 0.750 0.857
Pd: 0.958 0.250 0.357

***

## NdPa2N4 (PBE)

Data for an optimized crystal structure of NdPa2N4.

Values from the calculation:
- SG = Cmcm (63)
- crystal system = orthorhombic
- E (eV per atom) = -9.73

Cell lengths 6.034, 6.034, 10.782 Å; angles 90.00, 90.00, 146.63 degrees
Element x y z (fractional)
Nd: 0.110 0.890 0.750
Nd: 0.890 0.110 0.250
Pa: 0.369 0.631 0.571
Pa: 0.369 0.631 0.929
Pa: 0.631 0.369 0.071
Pa: 0.631 0.369 0.429
N: 0.000 0.000 0.000
N: 0.000 0.000 0.500
N: 0.271 0.729 0.105
N: 0.271 0.729 0.395
N: 0.461 0.539 0.750
N: 0.539 0.461 0.250
N: 0.729 0.271 0.605
N: 0.729 0.271 0.895

***

## Pr3Nd2Sn3 (PBE)

Data for an optimized crystal structure of Pr3Nd2Sn3.

Values from the calculation:
- SG = P6_3/mcm (193)
- crystal system = hexagonal
- E (eV per atom) = -5.17

Cell lengths 9.350, 9.350, 6.860 Å; angles 90.00, 90.00, 120.00 degrees
Element x y z (fractional)
Pr: 0.000 0.243 0.250
Pr: 0.000 0.757 0.750
Pr: 0.243 0.000 0.250
Pr: 0.243 0.243 0.750
Pr: 0.757 0.000 0.750
Pr: 0.757 0.757 0.250
Nd: 0.333 0.667 0.000
Nd: 0.333 0.667 0.500
Nd: 0.667 0.333 0.000
Nd: 0.667 0.333 0.500
Sn: 0.000 0.394 0.750
Sn: 0.000 0.606 0.250
Sn: 0.394 0.000 0.750
Sn: 0.394 0.394 0.250
Sn: 0.606 0.000 0.250
Sn: 0.606 0.606 0.750

***

## AgGeF5 (PBE)

Data for an optimized crystal structure of AgGeF5.

Values from the calculation:
- SG = C2/c (15)
- crystal system = monoclinic
- E (eV per atom) = -4.37

Cell lengths 5.173, 5.173, 7.499 Å; angles 109.13, 109.13, 72.33 degrees
Element x y z (fractional)
Ag: 0.009 0.991 0.750
Ag: 0.991 0.009 0.250
Ge: 0.500 0.500 0.000
Ge: 0.500 0.500 0.500
F: 0.137 0.662 0.984
F: 0.165 0.422 0.383
F: 0.338 0.863 0.516
F: 0.422 0.165 0.883
F: 0.442 0.558 0.750
F: 0.558 0.442 0.250
F: 0.578 0.835 0.117
F: 0.662 0.137 0.484
F: 0.835 0.578 0.617
F: 0.863 0.338 0.016

***

## Sc4GaCuN2 (PBE)

Data for an optimized crystal structure of Sc4GaCuN2.

Values from the calculation:
- SG = P-6m2 (187)
- crystal system = hexagonal
- E (eV per atom) = -7.16

Cell lengths 3.201, 3.201, 13.866 Å; angles 90.00, 90.00, 120.00 degrees
Element x y z (fractional)
Sc: 0.000 0.000 0.152
Sc: 0.000 0.000 0.848
Sc: 0.333 0.667 0.332
Sc: 0.333 0.667 0.668
Ga: 0.000 0.000 0.500
Cu: 0.333 0.667 0.000
N: 0.667 0.333 0.247
N: 0.667 0.333 0.753